Arrangement P

Density functional theory data (PBE-GGA) for NbBr2N after structural relaxation.

Lattice parameters (Å, degrees): 4.5318 4.5318 4.5318 60.00 60.00 60.00
Fractional coordinates of all 4 atoms:
Nb1 0.5000 0.5000 0.5000
Br1 0.2500 0.2500 0.2500
Br2 0.7500 0.7500 0.7500
N1 0.0000 0.0000 0.0000

As for the density of states at the Fermi level: 4.322 states/eV/f.u. As for the space group: Fm-3m, No. 225.

---

Arrangement Q

Density functional theory data (PBE-GGA) for NbBr2N after structural relaxation.

Lattice parameters (Å, degrees): 6.9735 6.9735 5.8255 53.24 53.24 90.00
Fractional coordinates of all 8 atoms:
Nb1 0.0000 0.0000 0.0000
Nb2 0.7500 0.2500 0.5000
Br1 0.6249 0.1250 0.2500
Br2 0.1251 0.6250 0.2500
Br3 0.3750 0.3751 0.7500
Br4 0.8750 0.8749 0.7500
N1 0.5000 0.5000 0.0000
N2 0.2500 0.7500 0.5000

As for the density of states at the Fermi level: 3.116 states/eV/f.u. As for the space group: I-42d, No. 122.

---

Which structure loses on stability? arrangement Q does.

---

Arrangement P

Density functional theory data (PBE-GGA) for NbSe2BrN after structural relaxation.

Lattice parameters (Å, degrees): 5.2088 5.2088 3.9662 90.00 90.00 90.00
Fractional coordinates of all 5 atoms:
Nb1 0.0000 0.0000 0.0000
Se1 0.0000 0.5000 0.0000
Se2 0.5000 0.0000 0.0000
Br1 0.5000 0.5000 0.5000
N1 0.0000 0.0000 0.5000

As for the density of states at the Fermi level: 5.364 states/eV/f.u. As for the space group: P4/mmm, No. 123.

---

Arrangement Q

Density functional theory data (PBE-GGA) for NbSe2BrN after structural relaxation.

Lattice parameters (Å, degrees): 5.2134 5.2134 3.6639 90.00 90.00 90.00
Each line ends with the local moment (μB).
Fractional coordinates of all 5 atoms:
Nb1 0.5000 0.5000 0.5000  2.07
Se1 0.0000 0.5000 0.0000  -0.12
Se2 0.5000 0.0000 0.0000  -0.12
Br1 0.0000 0.0000 0.0000  0.01
N1 0.0000 0.0000 0.5000  -0.05

As for the density of states at the Fermi level: 3.860 states/eV/f.u. As for the space group: P4/mmm, No. 123.

---

Which structure loses on stability? arrangement Q does.

---

Arrangement P

Density functional theory data (PBE-GGA) for NbSe2BrN after structural relaxation.

Lattice parameters (Å, degrees): 5.0116 5.0116 5.3486 90.00 90.00 90.00
Each line ends with the local moment (μB).
Fractional coordinates of all 5 atoms:
Nb1 0.0000 0.0000 0.0000  0.07
Se1 0.0000 0.5000 0.0000  0.01
Se2 0.5000 0.0000 0.0000  0.01
Br1 0.0000 0.0000 0.5000  0.03
N1 0.5000 0.5000 0.5000  1.89

As for the density of states at the Fermi level: 1.205 states/eV/f.u. As for the space group: P4/mmm, No. 123.

---

Arrangement Q

Density functional theory data (PBE-GGA) for NbSe2BrN after structural relaxation.

Lattice parameters (Å, degrees): 4.4822 4.4822 4.3050 90.00 90.00 90.00
Fractional coordinates of all 5 atoms:
Nb1 0.5000 0.5000 0.5000
Se1 0.0000 0.5000 0.0000
Se2 0.5000 0.0000 0.0000
Br1 0.0000 0.0000 0.5000
N1 0.0000 0.0000 0.0000

As for the density of states at the Fermi level: 4.990 states/eV/f.u. As for the space group: P4/mmm, No. 123.

---

Which structure loses on stability? arrangement Q does.

---

Arrangement P

Density functional theory data (PBE-GGA) for NiBrN2 after structural relaxation.

Lattice parameters (Å, degrees): 6.0967 6.0967 6.0967 29.11 29.11 29.11
Fractional coordinates of all 4 atoms:
Ni1 0.5000 0.5000 0.5000
Br1 0.0000 0.0000 0.0000
N1 0.8833 0.8833 0.8833
N2 0.1167 0.1167 0.1167

As for the density of states at the Fermi level: 1.614 states/eV/f.u. As for the space group: R-3m, No. 166.

---

Arrangement Q

Density functional theory data (PBE-GGA) for NiBrN2 after structural relaxation.

Lattice parameters (Å, degrees): 3.9187 3.9187 3.9187 60.00 60.00 60.00
Each line ends with the local moment (μB).
Fractional coordinates of all 4 atoms:
Ni1 0.0000 0.0000 0.0000  0.51
Br1 0.5000 0.5000 0.5000  -0.06
N1 0.2500 0.2500 0.2500  0.14
N2 0.7500 0.7500 0.7500  0.14

As for the density of states at the Fermi level: 3.644 states/eV/f.u. As for the space group: Fm-3m, No. 225.

---

Which structure loses on stability? arrangement Q does.